(1)
BiMoOsI2: optimized geometry, GGA-PBEsol.

```
5
Lattice="-1.885 -4.497 -1.608 3.161 0.232 -4.353 3.885 -2.588 2.684" Properties=species:S:1:pos:R:3 pbc="T T T"
I 1.943 -1.294 1.342
I 1.581 0.116 -2.176
Mo 2.581 -3.427 -1.639
Os 0.000 0.000 0.000
Bi -0.942 -2.249 -0.804
```

space group: P4/mmm, No. 123
total magnetization: 4.37 μB/f.u.
E_form (uncorrected): 7.920 eV per formula unit

(2)
BeFe6W: optimized geometry, GGA-PBEsol.

```
32
Lattice="5.809 0.000 0.000 -2.905 5.511 0.000 0.000 0.000 10.874" Properties=species:S:1:pos:R:3 pbc="T T T"
Be 2.905 2.813 0.000
Be 0.000 2.697 0.000
Be 2.905 0.000 2.579
Be 2.905 0.000 8.295
Fe 2.905 2.749 2.625
Fe -1.404 4.078 1.273
Fe 4.309 1.433 1.273
Fe 0.000 2.762 2.625
Fe 1.404 4.078 1.273
Fe 1.500 1.433 1.273
Fe 2.905 0.000 5.437
Fe 4.293 1.347 4.007
Fe 1.388 4.164 4.007
Fe 2.905 2.749 8.249
Fe -1.388 4.164 6.867
Fe 4.293 1.347 6.867
Fe 0.000 2.762 8.249
Fe 1.388 4.164 6.867
Fe 1.517 1.347 6.867
Fe 2.905 0.000 0.000
Fe 4.309 1.433 9.601
Fe 1.404 4.078 9.601
Fe 0.000 0.000 5.437
Fe 1.517 1.347 4.007
Fe -1.388 4.164 4.007
Fe 0.000 0.000 0.000
Fe 1.500 1.433 9.601
Fe -1.404 4.078 9.601
W 2.905 2.833 5.437
W 0.000 2.678 5.437
W 0.000 0.000 2.618
W 0.000 0.000 8.256
```

space group: Cmmm, No. 65
total magnetization: 9.64 μB/f.u.
formation enthalpy at 0 K: 28 meV/atom

(3)
CaTl2Pb: optimized geometry, GGA-PBEsol.

```
4
Lattice="-1.085 -1.686 4.246 -3.895 -1.939 -1.765 5.028 -2.365 -2.250" Properties=species:S:1:pos:R:3 pbc="T T T"
Pb 0.726 -2.931 1.618
Tl 0.000 0.000 0.000
Tl -0.678 -3.058 -1.388
Ca -2.490 -1.812 1.240
```

space group: I-4m2, No. 119
total magnetization: 0.00 μB/f.u.
formation enthalpy at 0 K: -289 meV/atom

(4)
Nb3HgAs: optimized geometry, GGA-PBEsol.

```
5
Lattice="-2.617 0.105 -4.241 2.116 -4.287 -1.412 -3.677 -2.541 2.206" Properties=species:S:1:pos:R:3 pbc="T T T"
As -2.089 -3.362 -1.723
Nb 1.058 -2.144 -0.706
Nb -1.839 -1.271 1.103
Nb -1.309 0.052 -2.121
Hg 0.000 0.000 0.000
```

space group: Pm-3m, No. 221
total magnetization: 0.00 μB/f.u.
formation enthalpy at 0 K: 1919 meV/atom

(5)
ReTeMo2: optimized geometry, GGA-PBEsol.

```
4
Lattice="-1.823 0.686 -2.062 -1.140 -1.829 1.843 -3.089 7.036 5.072" Properties=species:S:1:pos:R:3 pbc="T T T"
Mo -3.016 6.869 4.951
Mo -3.796 4.700 3.690
Re -1.635 3.723 2.684
Te -2.239 1.154 1.134
```

space group: Cmm2, No. 35
total magnetization: 0.00 μB/f.u.
E_form (uncorrected): 2.581 eV per formula unit

(6)
Mg2ZnCu: optimized geometry, GGA-PBEsol.

```
8
Lattice="4.291 0.000 0.000 -2.145 3.716 0.000 0.000 0.000 8.483" Properties=species:S:1:pos:R:3 pbc="T T T"
Cu 0.000 2.477 2.121
Cu 2.145 1.239 6.362
Mg 2.145 1.239 0.724
Mg 0.000 2.477 4.965
Mg 2.145 1.239 3.518
Mg 0.000 2.477 7.759
Zn 0.000 0.000 2.121
Zn 0.000 0.000 6.362
```

space group: P6_3/mmc, No. 194
total magnetization: 0.00 μB/f.u.
formation enthalpy at 0 K: -59 meV/atom

(7)
NiP2SBr: optimized geometry, GGA-PBEsol.

```
5
Lattice="4.317 0.000 0.000 0.000 4.479 0.000 0.000 0.000 4.479" Properties=species:S:1:pos:R:3 pbc="T T T"
Ni 0.000 0.000 0.000
S 2.158 0.000 0.000
Br 2.158 2.240 2.240
P 0.000 0.000 2.240
P 0.000 2.240 0.000
```

space group: P4/mmm, No. 123
total magnetization: 0.01 μB/f.u.
E_form (uncorrected): 2.860 eV per formula unit

(8)
KFeW: optimized geometry, GGA-PBEsol.

```
3
Lattice="-2.166 2.149 3.012 -3.630 -1.625 1.601 -0.099 -1.467 4.027" Properties=species:S:1:pos:R:3 pbc="T T T"
Fe 0.000 0.000 0.000
K -2.948 -0.471 4.320
W -1.474 -0.236 2.160
```

space group: F-43m, No. 216
total magnetization: 0.32 μB/f.u.
formation enthalpy at 0 K: 2386 meV/atom

(9)
Be2FePAu: optimized geometry, GGA-PBEsol.

```
5
Lattice="4.193 0.000 0.000 0.000 4.193 0.000 0.000 0.000 4.796" Properties=species:S:1:pos:R:3 pbc="T T T"
P 2.096 2.096 2.398
Au 0.000 0.000 0.000
Fe 0.000 0.000 2.398
Be 0.000 2.096 0.000
Be 2.096 0.000 0.000
```

space group: P4/mmm, No. 123
total magnetization: 2.91 μB/f.u.
formation enthalpy at 0 K: 1010 meV/atom

(10)
SbRuS3: optimized geometry, GGA-PBEsol.

```
5
Lattice="-3.231 0.233 -3.203 -0.565 -4.514 0.242 -3.162 0.569 3.231" Properties=species:S:1:pos:R:3 pbc="T T T"
Sb -3.479 -1.856 0.135
S -0.283 -2.257 0.121
S -1.581 0.284 1.615
S -1.616 0.117 -1.602
Ru 0.000 0.000 0.000
```

space group: Pm-3m, No. 221
total magnetization: 0.00 μB/f.u.
E_form (uncorrected): 1.060 eV per formula unit

(11)
PdPbBr3: optimized geometry, GGA-PBEsol.

```
5
Lattice="-0.516 5.407 1.526 -4.555 -1.300 3.064 3.288 -0.952 4.485" Properties=species:S:1:pos:R:3 pbc="T T T"
Pb 0.000 0.000 0.000
Br -2.278 -0.650 1.532
Br 1.644 -0.476 2.242
Br -0.258 2.704 0.763
Pd -0.891 1.578 4.538
```

space group: Pm-3m, No. 221
total magnetization: 0.66 μB/f.u.
E_form (uncorrected): 1.103 eV per formula unit

(12)
Sc2InCl: optimized geometry, GGA-PBEsol.

```
4
Lattice="3.408 0.000 0.000 0.000 4.519 0.000 0.000 0.000 5.582" Properties=species:S:1:pos:R:3 pbc="T T T"
Sc 0.000 0.000 4.936
Sc 1.704 2.259 2.071
Cl 0.000 0.000 2.084
In 1.704 2.259 4.863
```

E above lowest polymorph: 0.1126 eV per atom
space group: Pmm2, No. 25
total magnetization: 0.00 μB/f.u.
E_form (uncorrected): -2.895 eV per formula unit

The highest total magnetization belongs to which entry? BeFe6W

Which formula does entry 3 have? CaTl2Pb